# Ga3Sn5F12

A relaxed Ga3Sn5F12 crystal (GGA-PBE, Alexandria via LeMat-Bulk).

## Properties
* E_tot: -4.37 eV/atom
* Fermi-level density of states: 0.217 states/eV per atom
* raw formation energy: -35.9 eV per formula unit
* size of the total moment: 0.00 μB/f.u.

Lattice parameters (Å, degrees): 12.8818 12.8818 12.8818 109.47 109.47 109.47
Fractional coordinates of all 80 atoms:
F 0.3899 0.1006 0.5707
F 0.1808 0.1101 0.7107
F 0.8899 0.0707 0.6006
Sn 0.0000 0.0000 0.5000
F 0.2893 0.3899 0.8192
Ga 0.8750 0.1250 0.2500
F 0.1006 0.7107 0.5299
F 0.6808 0.2107 0.6101
F 0.6808 0.4701 0.5707
Sn 0.2500 0.8750 0.1250
Ga 0.2500 0.6250 0.8750
Ga 0.3750 0.6250 0.2500
F 0.4293 0.3994 0.6101
F 0.3994 0.4293 0.1101
F 0.8192 0.8899 0.2893
Sn 0.5000 0.5000 0.0000
Sn 0.0000 0.0000 0.0000
Sn 0.8750 0.6250 0.7500
F 0.0707 0.1808 0.4701
Sn 0.5000 0.0000 0.0000
F 0.7893 0.4701 0.3994
Ga 0.6250 0.2500 0.3750
Sn 0.0000 0.5000 0.5000
Sn 0.5000 0.0000 0.5000
F 0.2893 0.8994 0.9701
F 0.9293 0.8192 0.5299
Sn 0.6250 0.8750 0.2500
F 0.6006 0.5707 0.8899
F 0.4701 0.6808 0.0707
F 0.0707 0.8899 0.1006
Ga 0.2500 0.1250 0.3750
F 0.1006 0.3899 0.0707
F 0.1101 0.1808 0.2107
Sn 0.5000 0.5000 0.5000
F 0.1808 0.0707 0.9701
Ga 0.7500 0.3750 0.1250
F 0.6101 0.8994 0.4293
F 0.2107 0.6808 0.1101
F 0.7893 0.3192 0.8899
F 0.8192 0.9293 0.0299
F 0.3192 0.7893 0.3899
Sn 0.7500 0.6250 0.3750
F 0.2107 0.5299 0.6006
F 0.5707 0.9701 0.6808
F 0.6101 0.7107 0.6808
F 0.3192 0.5299 0.4293
Sn 0.3750 0.2500 0.1250
Sn 0.2500 0.3750 0.6250
Sn 0.1250 0.3750 0.2500
F 0.6006 0.0299 0.2107
Sn 0.7500 0.1250 0.8750
F 0.9701 0.3994 0.2893
F 0.4701 0.7893 0.8994
F 0.9701 0.5707 0.1808
Ga 0.8750 0.7500 0.1250
Ga 0.1250 0.2500 0.8750
F 0.8899 0.8192 0.7893
Sn 0.0000 0.5000 0.0000
F 0.5299 0.3192 0.9293
F 0.8994 0.2893 0.4701
Ga 0.7500 0.8750 0.6250
F 0.1101 0.9293 0.3994
Ga 0.6250 0.3750 0.7500
F 0.4293 0.0299 0.3192
F 0.7107 0.6101 0.1808
F 0.3899 0.2893 0.3192
Sn 0.3750 0.1250 0.7500
Sn 0.6250 0.7500 0.8750
F 0.8994 0.6101 0.9293
F 0.5707 0.6006 0.3899
F 0.0299 0.4293 0.8192
Sn 0.1250 0.7500 0.3750
F 0.3994 0.9701 0.7893
F 0.9293 0.1101 0.8994
F 0.7107 0.1006 0.0299
Ga 0.1250 0.8750 0.7500
F 0.5299 0.2107 0.1006
Sn 0.8750 0.2500 0.6250
F 0.0299 0.6006 0.7107
Ga 0.3750 0.7500 0.6250

# GaSnF2

A relaxed GaSnF2 crystal (GGA-PBE, Alexandria via LeMat-Bulk).

## Properties
* energy above the lowest structure with this stoichiometry: 27.2 kJ per mole of atoms
* E_tot: -3.91 eV/atom
* Fermi-level density of states: 0.397 states/eV per atom
* raw formation energy: -4.9 eV per formula unit
* size of the total moment: 0.00 μB/f.u.

Lattice parameters (Å, degrees): 4.5673 4.5673 4.5673 60.00 60.00 60.00
Fractional coordinates of all 4 atoms:
Ga 0.0000 0.0000 0.0000
Sn 0.5000 0.5000 0.5000
F 0.2500 0.2500 0.2500
F 0.7500 0.7500 0.7500

# TlGaSn2F8

A relaxed TlGaSn2F8 crystal (GGA-PBE, Alexandria via LeMat-Bulk).

## Properties
* E_tot: -4.67 eV/atom
* Fermi-level density of states: 0.000 states/eV per atom
* raw formation energy: -27.7 eV per formula unit
* size of the total moment: 0.00 μB/f.u.

Lattice parameters (Å, degrees): 5.3651 5.1283 7.8620 91.95 96.83 87.95
Fractional coordinates of all 12 atoms:
F 0.7296 0.7581 0.9364
Sn 0.5009 0.5074 0.2366
Sn 0.4991 0.4926 0.7634
F 0.8058 0.1667 0.1638
F 0.6193 0.7113 0.5694
F 0.1372 0.7674 0.1818
F 0.8628 0.2326 0.8182
Ga 0.0000 0.0000 0.0000
F 0.3807 0.2887 0.4306
F 0.1942 0.8333 0.8362
Tl 0.0000 0.0000 0.5000
F 0.2704 0.2419 0.0636

# TlGaSnF6

A relaxed TlGaSnF6 crystal (GGA-PBE, Alexandria via LeMat-Bulk).

## Properties
* E_tot: -4.64 eV/atom
* Fermi-level density of states: 0.000 states/eV per atom
* raw formation energy: -21.1 eV per formula unit
* size of the total moment: 0.00 μB/f.u.

Lattice parameters (Å, degrees): 5.8225 5.8218 5.5140 90.06 89.96 59.89
Fractional coordinates of all 9 atoms:
F 0.4457 0.0133 0.7081
F 0.6409 0.1067 0.3237
F 0.0120 0.5424 0.7075
Ga 0.3334 0.3335 0.5107
Tl 0.0001 0.9999 0.9553
Sn 0.6666 0.6668 0.4403
F 0.1085 0.2514 0.3236
F 0.2520 0.6395 0.3228
F 0.5407 0.4464 0.7078

# SrGaF6

A relaxed SrGaF6 crystal (GGA-PBE, Alexandria via LeMat-Bulk).

## Properties
* E_tot: -4.73 eV/atom
* Fermi-level density of states: 0.684 states/eV per atom
* raw formation energy: -21.9 eV per formula unit
* size of the total moment: 1.02 μB/f.u.

Lattice parameters (Å, degrees): 4.7773 4.7773 4.7773 96.79 96.79 96.79
Last column: magnetic moment on the atom in μB.
Fractional coordinates of all 8 atoms:
F 0.2147 0.2147 0.5790  0.16
F 0.7853 0.4210 0.7853  0.16
F 0.2147 0.5790 0.2147  0.16
F 0.7853 0.7853 0.4210  0.16
F 0.4210 0.7853 0.7853  0.16
Sr 0.0000 0.0000 0.0000  0.00
Ga 0.5000 0.5000 0.5000  -0.01
F 0.5790 0.2147 0.2147  0.16

# Sr3Ga5F12

A relaxed Sr3Ga5F12 crystal (GGA-PBE, Alexandria via LeMat-Bulk).

## Properties
* E_tot: -4.68 eV/atom
* Fermi-level density of states: 0.310 states/eV per atom
* raw formation energy: -51.1 eV per formula unit
* size of the total moment: 0.00 μB/f.u.

Lattice parameters (Å, degrees): 12.3330 12.3330 12.3330 109.47 109.47 109.47
Fractional coordinates of all 80 atoms:
F 0.2768 0.4142 0.8303
F 0.4465 0.7768 0.8626
Sr 0.2500 0.1250 0.3750
F 0.1697 0.0858 0.7232
F 0.3303 0.7768 0.4142
Ga 0.0000 0.0000 0.5000
Sr 0.6250 0.2500 0.3750
F 0.9465 0.3626 0.2768
F 0.9142 0.0839 0.6374
F 0.2232 0.6697 0.0858
Ga 0.5000 0.0000 0.0000
F 0.9142 0.8303 0.7768
F 0.7232 0.1374 0.0535
Ga 0.0000 0.5000 0.0000
F 0.2768 0.8626 0.9465
F 0.7768 0.3303 0.9142
F 0.5839 0.6374 0.4142
Ga 0.1250 0.3750 0.2500
F 0.2232 0.5535 0.6374
Sr 0.7500 0.8750 0.6250
F 0.3303 0.5535 0.4161
Ga 0.0000 0.5000 0.5000
F 0.8303 0.9142 0.2768
Ga 0.7500 0.1250 0.8750
F 0.1374 0.7232 0.5535
Ga 0.7500 0.6250 0.3750
Sr 0.1250 0.2500 0.8750
Sr 0.6250 0.3750 0.7500
F 0.7768 0.4465 0.3626
Ga 0.2500 0.8750 0.1250
F 0.4142 0.2768 0.3303
F 0.0535 0.6374 0.7232
Ga 0.2500 0.3750 0.6250
F 0.6374 0.5839 0.9142
F 0.5858 0.7232 0.6697
F 0.9465 0.5839 0.1697
F 0.0839 0.1697 0.4465
Ga 0.3750 0.1250 0.7500
Ga 0.8750 0.2500 0.6250
F 0.5839 0.9465 0.6697
F 0.0535 0.4161 0.8303
Ga 0.3750 0.2500 0.1250
Sr 0.1250 0.8750 0.7500
F 0.8303 0.9161 0.0535
F 0.1697 0.0839 0.9465
Ga 0.5000 0.0000 0.5000
F 0.0858 0.1697 0.2232
F 0.5858 0.8626 0.4161
F 0.0858 0.9161 0.3626
Sr 0.8750 0.7500 0.1250
F 0.4161 0.0535 0.3303
F 0.8626 0.2768 0.4465
F 0.5535 0.2232 0.1374
F 0.1374 0.4142 0.0839
Ga 0.5000 0.5000 0.0000
Sr 0.8750 0.1250 0.2500
F 0.3626 0.4161 0.0858
F 0.4161 0.3626 0.5858
F 0.4465 0.6697 0.0839
Sr 0.2500 0.6250 0.8750
Ga 0.5000 0.5000 0.5000
F 0.9161 0.8303 0.5535
F 0.0839 0.9142 0.1374
Sr 0.3750 0.7500 0.6250
Sr 0.7500 0.3750 0.1250
Sr 0.3750 0.6250 0.2500
Ga 0.6250 0.7500 0.8750
F 0.7232 0.5858 0.1697
F 0.6374 0.0535 0.2232
F 0.5535 0.3303 0.9161
Ga 0.1250 0.7500 0.3750
F 0.8626 0.5858 0.9161
Ga 0.6250 0.8750 0.2500
Ga 0.0000 0.0000 0.0000
F 0.9161 0.0858 0.8626
F 0.3626 0.9465 0.7768
F 0.4142 0.1374 0.5839
Ga 0.8750 0.6250 0.7500
F 0.6697 0.4465 0.5839
F 0.6697 0.2232 0.5858

# SrGaF5

A relaxed SrGaF5 crystal (GGA-PBE, Alexandria via LeMat-Bulk).

## Properties
* energy above the lowest structure with this stoichiometry: 0.0 kJ per mole of atoms
* E_tot: -5.23 eV/atom
* Fermi-level density of states: 0.000 states/eV per atom
* raw formation energy: -22.5 eV per formula unit
* size of the total moment: 0.00 μB/f.u.

Lattice parameters (Å, degrees): 5.7478 5.7478 7.9157 70.28 70.28 71.74
Fractional coordinates of all 14 atoms:
Ga 0.0000 0.0000 0.0000
Ga 0.0000 0.0000 0.5000
F 0.0648 0.9352 0.7500
F 0.7287 0.2957 0.5266
F 0.7043 0.2713 0.9734
Sr 0.4540 0.5460 0.7500
F 0.1995 0.2371 0.8904
F 0.2713 0.7043 0.4734
F 0.2957 0.7287 0.0266
Sr 0.5460 0.4540 0.2500
F 0.2371 0.1995 0.3904
F 0.7629 0.8005 0.6096
F 0.9352 0.0648 0.2500
F 0.8005 0.7629 0.1096

# Sr12Ga3F5

A relaxed Sr12Ga3F5 crystal (GGA-PBE, Alexandria via LeMat-Bulk).

## Properties
* E_tot: -3.41 eV/atom
* Fermi-level density of states: 0.759 states/eV per atom
* raw formation energy: -29.6 eV per formula unit
* size of the total moment: 0.03 μB/f.u.

Lattice parameters (Å, degrees): 14.9142 14.9142 14.9142 109.47 109.47 109.47
Fractional coordinates of all 80 atoms:
Sr 0.3780 0.9748 0.7878
Ga 0.8750 0.1250 0.2500
Sr 0.9033 0.8130 0.5252
Sr 0.0903 0.9033 0.3780
F 0.6250 0.7500 0.8750
Ga 0.2500 0.6250 0.8750
F 0.3750 0.1250 0.7500
Ga 0.7500 0.8750 0.6250
Sr 0.2878 0.4097 0.8130
F 0.5000 0.5000 0.0000
F 0.5000 0.0000 0.0000
Sr 0.8130 0.9033 0.0252
F 0.8750 0.2500 0.6250
Sr 0.0967 0.1870 0.4748
Sr 0.7122 0.1220 0.0252
F 0.5000 0.0000 0.5000
Sr 0.0252 0.4033 0.8130
F 0.0000 0.0000 0.5000
F 0.7500 0.1250 0.8750
Ga 0.6250 0.2500 0.3750
Sr 0.6870 0.2122 0.5903
Sr 0.4097 0.1220 0.5967
Ga 0.3750 0.6250 0.2500
Sr 0.4748 0.6870 0.0967
Sr 0.6220 0.5967 0.9097
Sr 0.4033 0.0252 0.3130
Ga 0.2500 0.1250 0.3750
F 0.7500 0.6250 0.3750
Sr 0.0967 0.9097 0.1220
Sr 0.9748 0.5967 0.1870
Sr 0.9033 0.0903 0.8780
Sr 0.4033 0.3780 0.5903
Sr 0.7878 0.3130 0.9097
Sr 0.2122 0.6870 0.0903
F 0.1250 0.7500 0.3750
Sr 0.4097 0.2878 0.3130
Sr 0.5967 0.9748 0.6870
Sr 0.5903 0.8780 0.4033
Sr 0.5252 0.3130 0.9033
Ga 0.1250 0.8750 0.7500
Sr 0.8780 0.5903 0.9033
F 0.5000 0.5000 0.5000
F 0.1250 0.3750 0.2500
Sr 0.9097 0.0967 0.6220
Sr 0.1870 0.0967 0.9748
Sr 0.8130 0.9097 0.2878
Sr 0.0252 0.6220 0.7122
Sr 0.9097 0.8130 0.7878
Ga 0.3750 0.7500 0.6250
F 0.6250 0.8750 0.2500
F 0.8750 0.6250 0.7500
Sr 0.8780 0.2878 0.4748
F 0.2500 0.3750 0.6250
Sr 0.0903 0.1870 0.2122
F 0.2500 0.8750 0.1250
F 0.0000 0.5000 0.0000
Sr 0.7122 0.5903 0.1870
Sr 0.7878 0.4748 0.3780
Sr 0.1870 0.0903 0.7122
Sr 0.4748 0.7878 0.8780
Sr 0.3130 0.5252 0.4033
Ga 0.8750 0.7500 0.1250
Ga 0.6250 0.3750 0.7500
Sr 0.9748 0.3780 0.2878
Sr 0.1220 0.4097 0.0967
Ga 0.7500 0.3750 0.1250
F 0.0000 0.0000 0.0000
Ga 0.1250 0.2500 0.8750
F 0.0000 0.5000 0.5000
Sr 0.3780 0.4033 0.0903
Sr 0.5967 0.6220 0.4097
Sr 0.2878 0.8780 0.9748
Sr 0.2122 0.5252 0.6220
Sr 0.6220 0.0252 0.2122
Sr 0.1220 0.7122 0.5252
Sr 0.6870 0.4748 0.5967
F 0.3750 0.2500 0.1250
Sr 0.3130 0.7878 0.4097
Sr 0.5903 0.7122 0.6870
Sr 0.5252 0.2122 0.1220